Density functional theory data (PBE with a Hubbard U) for a geometry-optimized SmCoO structure.

## Properties
The raw total energy is -6.248 eV/atom. For the spin magnetization, the calculation gives 1.626 μB/f.u.

Cell lengths 6.5848, 3.7722, 10.5690 Å; angles 90.00, 98.84, 90.00 degrees
Space group C2/m (No. 12)
Unique sites:
Sm 0.0974 0.0000 0.2353 [4 per cell]
Co 0.1711 0.0000 0.5202 [4 per cell]
O 0.0846 0.5000 0.8222 [4 per cell]